P | Computed, not measured: a relaxed Si3PdF crystal at the PBE level of DFT.

Results
- theoretical density (kg/m³) = 3346
- magnetic moment (μB per atom) = 0.000

Unit cell a=4.7036 b=4.7036 c=4.7036 alpha=90.00 beta=90.00 gamma=90.00
Sites, in units of the cell vectors:
Si  0.0000  0.0000  0.5000
Si  0.0000  0.5000  0.0000
Si  0.5000  0.0000  0.0000
Pd  0.0000  0.0000  0.0000
F  0.5000  0.5000  0.5000



Q | Computed, not measured: a relaxed Si3PdF crystal at the PBE level of DFT.

Results
- theoretical density (kg/m³) = 4368
- magnetic moment (μB per atom) = 0.000

Unit cell a=4.3035 b=4.3035 c=4.3035 alpha=90.00 beta=90.00 gamma=90.00
Sites, in units of the cell vectors:
Si  0.0000  0.0000  0.5000
Si  0.0000  0.5000  0.0000
Si  0.5000  0.0000  0.0000
Pd  0.5000  0.5000  0.5000
F  0.0000  0.0000  0.0000



From most stable to least stable, the computed energies give Q, P.



P | Computed, not measured: a relaxed SiPdF3 crystal at the PBE level of DFT.

Results
- theoretical density (kg/m³) = 4080
- magnetic moment (μB per atom) = 0.014

Unit cell a=4.2715 b=4.2715 c=4.2715 alpha=90.00 beta=90.00 gamma=90.00
Sites, in units of the cell vectors:
Si  0.0000  0.0000  0.0000
Pd  0.5000  0.5000  0.5000
F  0.0000  0.5000  0.5000
F  0.5000  0.0000  0.5000
F  0.5000  0.5000  0.0000



Q | Computed, not measured: a relaxed SiPdF3 crystal at the PBE level of DFT.

Results
- theoretical density (kg/m³) = 4771
- magnetic moment (μB per atom) = 0.033

Unit cell a=4.0545 b=4.0545 c=4.0545 alpha=90.00 beta=90.00 gamma=90.00
Sites, in units of the cell vectors:
Si  0.0000  0.0000  0.0000
Pd  0.5000  0.5000  0.5000
F  0.0000  0.0000  0.5000
F  0.0000  0.5000  0.0000
F  0.5000  0.0000  0.0000



From most stable to least stable, the computed energies give Q, P.



P | Computed, not measured: a relaxed SiPd2F crystal at the PBE level of DFT.

Results
- theoretical density (kg/m³) = 8215
- magnetic moment (μB per atom) = 0.000

Unit cell a=4.2040 b=4.2040 c=4.2040 alpha=60.00 beta=60.00 gamma=60.00
Sites, in units of the cell vectors:
Si  0.0000  0.0000  0.0000
Pd  0.2500  0.2500  0.2500
Pd  0.7500  0.7500  0.7500
F  0.5000  0.5000  0.5000



Q | Computed, not measured: a relaxed SiPd2F crystal at the PBE level of DFT.

Results
- theoretical density (kg/m³) = 7344
- magnetic moment (μB per atom) = 0.000

Unit cell a=5.3594 b=5.3594 c=5.3594 alpha=106.59 beta=106.59 gamma=115.41
Sites, in units of the cell vectors:
Si  0.0000  0.0000  0.0000
Si  0.7500  0.2500  0.5000
Pd  0.1132  0.6250  0.9882
Pd  0.3750  0.3632  0.4882
Pd  0.6368  0.1250  0.0118
Pd  0.8750  0.8868  0.5118
F  0.2500  0.7500  0.5000
F  0.5000  0.5000  0.0000



From most stable to least stable, the computed energies give P, Q.



P | Computed, not measured: a relaxed SnPdF crystal at the PBE level of DFT.

Results
- theoretical density (kg/m³) = 6394
- magnetic moment (μB per atom) = 0.000

Unit cell a=8.1863 b=8.1863 c=7.9918 alpha=116.42 beta=116.42 gamma=32.30
Sites, in units of the cell vectors:
Sn  0.0797  0.0797  0.4426
Sn  0.1809  0.1809  0.0294
Sn  0.8191  0.8191  0.9706
Sn  0.9203  0.9203  0.5574
Pd  0.2385  0.2385  0.4053
Pd  0.2522  0.2522  0.7797
Pd  0.7478  0.7478  0.2203
Pd  0.7615  0.7615  0.5947
F  0.0270  0.0270  0.8525
F  0.4367  0.4367  0.5940
F  0.5633  0.5633  0.4060
F  0.9730  0.9730  0.1475



Q | Computed, not measured: a relaxed SnPdF crystal at the PBE level of DFT.

Results
- theoretical density (kg/m³) = 7751
- magnetic moment (μB per atom) = 0.000

Unit cell a=4.8218 b=4.8218 c=4.8218 alpha=136.57 beta=136.57 gamma=63.09
Sites, in units of the cell vectors:
Sn  0.0000  0.0000  0.0000
Pd  0.3617  0.3617  0.0000
F  0.7207  0.7207  0.0000



From most stable to least stable, the computed energies give P, Q.



P | Computed, not measured: a relaxed Sn2PdF crystal at the PBE level of DFT.

Results
- theoretical density (kg/m³) = 8260
- magnetic moment (μB per atom) = 0.000

Unit cell a=4.6899 b=4.6899 c=4.6899 alpha=60.00 beta=60.00 gamma=60.00
Sites, in units of the cell vectors:
Sn  0.2500  0.2500  0.2500
Sn  0.7500  0.7500  0.7500
Pd  0.0000  0.0000  0.0000
F  0.5000  0.5000  0.5000



Q | Computed, not measured: a relaxed Sn2PdF crystal at the PBE level of DFT.

Results
- theoretical density (kg/m³) = 6336
- magnetic moment (μB per atom) = 0.000

Unit cell a=7.9129 b=7.9129 c=7.9129 alpha=141.55 beta=141.55 gamma=55.51
Sites, in units of the cell vectors:
Sn  0.0902  0.6250  0.9652
Sn  0.3750  0.3402  0.4652
Sn  0.6598  0.1250  0.0348
Sn  0.8750  0.9098  0.5348
Pd  0.2500  0.7500  0.5000
Pd  0.5000  0.5000  0.0000
F  0.0000  0.0000  0.0000
F  0.7500  0.2500  0.5000



From most stable to least stable, the computed energies give P, Q.



P | Computed, not measured: a relaxed SrPdF4 crystal at the PBE level of DFT.

Results
- theoretical density (kg/m³) = 4730
- magnetic moment (μB per atom) = 0.008

Unit cell a=6.8365 b=6.8365 c=6.8365 alpha=128.65 beta=128.65 gamma=75.58
Sites, in units of the cell vectors:
Sr  0.2500  0.2500  0.0000
Sr  0.7500  0.7500  0.0000
Pd  0.0000  0.5000  0.5000
Pd  0.5000  0.0000  0.5000
F  0.0371  0.5371  0.8388
F  0.1984  0.0371  0.5000
F  0.3016  0.8016  0.8388
F  0.4629  0.3016  0.5000
F  0.5371  0.6984  0.5000
F  0.6984  0.1984  0.1612
F  0.8016  0.9629  0.5000
F  0.9629  0.4629  0.1612



Q | Computed, not measured: a relaxed SrPdF4 crystal at the PBE level of DFT.

Results
- theoretical density (kg/m³) = 4692
- magnetic moment (μB per atom) = 0.004

Unit cell a=7.3920 b=6.8108 c=5.8344 alpha=71.07 beta=60.64 gamma=48.30
Sites, in units of the cell vectors:
Sr  0.1250  0.1250  0.1250
Sr  0.8750  0.8750  0.8750
Pd  0.3750  0.3750  0.3750
Pd  0.6250  0.6250  0.6250
F  0.0755  0.4382  0.7276
F  0.2586  0.7276  0.4382
F  0.2724  0.7414  0.9245
F  0.4382  0.0755  0.2586
F  0.5618  0.9245  0.7414
F  0.7276  0.2586  0.0755
F  0.7414  0.2724  0.5618
F  0.9245  0.5618  0.2724



From most stable to least stable, the computed energies give P, Q.